SrAs2CBr: relaxed, PBE-GGA.

Computed properties:
Final energy (eV per cell): -13.0
Calculated volume (Å³/cell): 214.3
Size of the total moment (μB per cell): 4.41
E_form (uncorrected) (eV per formula unit): 8.92

Structure (CIF):
```
data_SrAs2CBr
_chemical_formula_sum 'Sr1 As2 C1 Br1'
_space_group_name_H-M_alt 'P 4/m m m'
_space_group_IT_number 123
_space_group_name_Hall '-P 4 2'
_cell_length_a 6.088
_cell_length_b 6.088
_cell_length_c 5.784
_cell_angle_alpha 90.00
_cell_angle_beta 90.00
_cell_angle_gamma 90.00
loop_
_atom_site_label
_atom_site_type_symbol
_atom_site_fract_x
_atom_site_fract_y
_atom_site_fract_z
Sr1 Sr 0.000 0.000 0.000
As1 As 0.000 0.500 0.000
C1 C 0.500 0.500 0.500
Br1 Br 0.000 0.000 0.500
```

LiTc2RuAu: relaxed, PBE-GGA.

Computed properties:
Final energy (eV per cell): -29.6
Calculated volume (Å³/cell): 71.3
Size of the total moment (μB per cell): 0.00
Calculated formation energy (eV per atom): 1.1291

Structure (CIF):
```
data_LiTc2RuAu
_chemical_formula_sum 'Li1 Tc2 Ru1 Au1'
_space_group_name_H-M_alt 'P 4/m m m'
_space_group_IT_number 123
_space_group_name_Hall '-P 4 2'
_cell_length_a 4.147
_cell_length_b 4.147
_cell_length_c 4.146
_cell_angle_alpha 90.00
_cell_angle_beta 90.00
_cell_angle_gamma 90.00
loop_
_atom_site_label
_atom_site_type_symbol
_atom_site_fract_x
_atom_site_fract_y
_atom_site_fract_z
Li1 Li 0.000 0.000 0.000
Tc1 Tc 0.000 0.500 0.000
Ru1 Ru 0.000 0.000 0.500
Au1 Au 0.500 0.500 0.500
```

KSr3Co: relaxed, PBE-GGA.

Computed properties:
Final energy (eV per cell): -12.0
Calculated volume (Å³/cell): 220.9
Size of the total moment (μB per cell): 0.37
Calculated formation energy (eV per atom): 0.2443

Structure (CIF):
```
data_KSr3Co
_chemical_formula_sum 'K1 Sr3 Co1'
_space_group_name_H-M_alt 'P m -3 m'
_space_group_IT_number 221
_space_group_name_Hall '-P 4 2 3'
_cell_length_a 6.045
_cell_length_b 6.045
_cell_length_c 6.045
_cell_angle_alpha 90.00
_cell_angle_beta 90.00
_cell_angle_gamma 90.00
loop_
_atom_site_label
_atom_site_type_symbol
_atom_site_fract_x
_atom_site_fract_y
_atom_site_fract_z
K1 K 0.000 0.000 0.000
Sr1 Sr 0.000 0.500 0.500
Co1 Co 0.500 0.500 0.500
```

LaDy2PuN4: relaxed, PBE-GGA.

Computed properties:
Final energy (eV per cell): -73.3
Calculated volume (Å³/cell): 125.8
Size of the total moment (μB per cell): 4.76
E_form (uncorrected) (eV per formula unit): -11.54

Structure (CIF):
```
data_LaDy2PuN4
_chemical_formula_sum 'La1 Dy2 Pu1 N4'
_space_group_name_H-M_alt 'P 1 2/m 1'
_space_group_IT_number 10
_cell_length_a 6.132
_cell_length_b 3.544
_cell_length_c 6.132
_cell_angle_alpha 90.00
_cell_angle_beta 109.33
_cell_angle_gamma 90.00
loop_
_space_group_symop_operation_xyz
'x,y,z'
'-x,-y,-z'
'-x,y,-z'
'x,-y,z'
loop_
_atom_site_label
_atom_site_type_symbol
_atom_site_fract_x
_atom_site_fract_y
_atom_site_fract_z
La1 La 0.000 0.000 0.000
Dy1 Dy 0.000 0.500 0.500
Dy2 Dy 0.500 0.000 0.500
Pu1 Pu 0.500 0.500 0.000
N1 N 0.262 0.000 0.749
N2 N 0.266 0.500 0.258
```

Tb4TlRu2: relaxed, PBE-GGA.

Computed properties:
Final energy (eV per cell): -164.7
Calculated volume (Å³/cell): 678.0
Size of the total moment (μB per cell): 0.00
Calculated formation energy (eV per atom): -0.2490

Structure (CIF):
```
data_Tb4TlRu2
_chemical_formula_sum 'Tb16 Tl4 Ru8'
_space_group_name_H-M_alt 'C m c m'
_space_group_IT_number 63
_space_group_name_Hall '-C 2c 2'
_cell_length_a 5.111
_cell_length_b 8.859
_cell_length_c 14.976
_cell_angle_alpha 90.00
_cell_angle_beta 90.00
_cell_angle_gamma 90.00
loop_
_atom_site_label
_atom_site_type_symbol
_atom_site_fract_x
_atom_site_fract_y
_atom_site_fract_z
Tb1 Tb 0.000 0.000 0.000
Tb2 Tb 0.000 0.333 0.121
Tb3 Tb 0.000 0.334 0.750
Tl1 Tl 0.000 0.001 0.750
Ru1 Ru 0.000 0.334 0.561
```

FeIrBr2: relaxed, PBE-GGA.

Computed properties:
Final energy (eV per cell): -34.6
Calculated volume (Å³/cell): 155.1
Size of the total moment (μB per cell): 7.47
E_form (uncorrected) (eV per formula unit): 3.38

Structure (CIF):
```
data_FeIrBr2
_chemical_formula_sum 'Fe2 Ir2 Br4'
_space_group_name_H-M_alt 'C 1 2/m 1'
_space_group_IT_number 12
_cell_length_a 6.235
_cell_length_b 8.384
_cell_length_c 3.306
_cell_angle_alpha 90.00
_cell_angle_beta 116.17
_cell_angle_gamma 90.00
loop_
_space_group_symop_operation_xyz
'x,y,z'
'-x,-y,-z'
'-x,y,-z'
'x,-y,z'
'x+1/2,y+1/2,z'
'-x+1/2,-y+1/2,-z'
'-x+1/2,y+1/2,-z'
'x+1/2,-y+1/2,z'
loop_
_atom_site_label
_atom_site_type_symbol
_atom_site_fract_x
_atom_site_fract_y
_atom_site_fract_z
Fe1 Fe 0.000 0.000 0.000
Ir1 Ir 0.000 0.500 0.000
Br1 Br 0.250 0.250 0.000
```

Tm2AlGa4Pd3: relaxed, PBE-GGA.

Computed properties:
Final energy (eV per cell): -47.6
Calculated volume (Å³/cell): 183.4
Size of the total moment (μB per cell): 0.00
Calculated formation energy (eV per atom): -0.7242

Structure (CIF):
```
data_Tm2AlGa4Pd3
_chemical_formula_sum 'Tm2 Al1 Ga4 Pd3'
_space_group_name_H-M_alt 'P -4 m 2'
_space_group_IT_number 115
_cell_length_a 3.970
_cell_length_b 3.970
_cell_length_c 11.635
_cell_angle_alpha 90.00
_cell_angle_beta 90.00
_cell_angle_gamma 90.00
loop_
_space_group_symop_operation_xyz
'x,y,z'
'y,-x,-z'
'-x,-y,z'
'-y,x,-z'
'-x,y,z'
'-y,-x,-z'
'x,-y,z'
'y,x,-z'
loop_
_atom_site_label
_atom_site_type_symbol
_atom_site_fract_x
_atom_site_fract_y
_atom_site_fract_z
Tm1 Tm 0.000 0.500 0.249
Al1 Al 0.500 0.500 0.000
Ga1 Ga 0.000 0.000 0.500
Ga2 Ga 0.000 0.500 0.857
Ga3 Ga 0.500 0.500 0.500
Pd1 Pd 0.000 0.000 0.000
Pd2 Pd 0.000 0.500 0.645
```

HfBRu2: relaxed, PBE-GGA.

Computed properties:
Final energy (eV per cell): -145.5
Calculated volume (Å³/cell): 229.3
Size of the total moment (μB per cell): 0.00
Calculated formation energy (eV per atom): -0.2982

Structure (CIF):
```
data_HfBRu2
_chemical_formula_sum 'Hf4 B4 Ru8'
_space_group_name_H-M_alt 'I -4 2 d'
_space_group_IT_number 122
_space_group_name_Hall 'I -4 2bw'
_cell_length_a 6.802
_cell_length_b 6.802
_cell_length_c 4.957
_cell_angle_alpha 90.00
_cell_angle_beta 90.00
_cell_angle_gamma 90.00
loop_
_atom_site_label
_atom_site_type_symbol
_atom_site_fract_x
_atom_site_fract_y
_atom_site_fract_z
Hf1 Hf 0.000 0.000 0.000
B1 B 0.000 0.000 0.500
Ru1 Ru 0.151 0.250 0.625
```